# PBE ErTmZnSn, optimized geometry
# - volume (Å³ per cell) = 382
# - VASP energy (eV/atom) = -4.05
# - energy of formation from the pure elements (eV/f.u.) = -1.873
data_ErTmZnSn
_chemical_formula_sum 'Er4 Tm4 Zn4 Sn4'
_symmetry_space_group_name_H-M 'F -4 3 m'
_symmetry_Int_Tables_number 216
_symmetry_space_group_name_Hall 'F -4 2 3'
_cell_length_a 7.2553
_cell_length_b 7.2553
_cell_length_c 7.2553
_cell_angle_alpha 90.00
_cell_angle_beta 90.00
_cell_angle_gamma 90.00
loop_
_atom_site_label
_atom_site_type_symbol
_atom_site_fract_x
_atom_site_fract_y
_atom_site_fract_z
Er1 Er 0.0000 0.0000 0.0000
Tm1 Tm 0.0000 0.0000 0.5000
Zn1 Zn 0.2500 0.2500 0.7500
Sn1 Sn 0.2500 0.2500 0.2500

***

# PBE ErU2Sn9, optimized geometry
# - volume (Å³ per cell) = 302
# - VASP energy (eV/atom) = -5.48
# - energy of formation from the pure elements (eV/f.u.) = -2.541
data_ErU2Sn9
_chemical_formula_sum 'Er1 U2 Sn9'
_symmetry_space_group_name_H-M 'P 4/m m m'
_symmetry_Int_Tables_number 123
_symmetry_space_group_name_Hall '-P 4 2'
_cell_length_a 4.6432
_cell_length_b 4.6432
_cell_length_c 14.0090
_cell_angle_alpha 90.00
_cell_angle_beta 90.00
_cell_angle_gamma 90.00
loop_
_atom_site_label
_atom_site_type_symbol
_atom_site_fract_x
_atom_site_fract_y
_atom_site_fract_z
Er1 Er 0.0000 0.0000 0.0000
U1 U 0.0000 0.0000 0.3364
Sn1 Sn 0.0000 0.5000 0.1686
Sn2 Sn 0.0000 0.5000 0.5000
Sn3 Sn 0.5000 0.5000 0.0000
Sn4 Sn 0.5000 0.5000 0.3339

***

# PBE ErUSn, optimized geometry
# - volume (Å³ per cell) = 300
# - VASP energy (eV/atom) = -6.54
# - energy of formation from the pure elements (eV/f.u.) = 0.223
data_ErUSn
_chemical_formula_sum 'Er4 U4 Sn4'
_symmetry_space_group_name_H-M 'I m m m'
_symmetry_Int_Tables_number 71
_symmetry_space_group_name_Hall '-I 2 2'
_cell_length_a 5.3251
_cell_length_b 6.3909
_cell_length_c 8.8127
_cell_angle_alpha 90.00
_cell_angle_beta 90.00
_cell_angle_gamma 90.00
loop_
_atom_site_label
_atom_site_type_symbol
_atom_site_fract_x
_atom_site_fract_y
_atom_site_fract_z
Er1 Er 0.0000 0.0000 0.1772
U1 U 0.0000 0.5000 0.1370
Sn1 Sn 0.0000 0.2596 0.5000